This record from Alexandria describes a relaxed structure of K2LiNd4Nb2O12. The functional is PBE.

a b c (Å): 7.1009 7.1009 8.9446
angles (deg): 105.35 105.35 47.86
Closest atoms and distances in Å follow each position.
Sites, in units of the cell vectors:
K  0.0000  0.0000  0.0000  1 O 2.48, 1 Li 2.50
K  0.7163  0.7163  0.0763  1 Li 2.52, 3 O 2.53-2.67
Li  0.8030  0.8030  0.8584  2 O 1.76
Nd  0.2650  0.2650  0.2816  6 O 2.30-2.51
Nd  0.4384  0.4384  0.6754  7 O 2.35-2.56
Nd  0.7077  0.7077  0.5190  8 O 2.41-2.68
Nd  0.9779  0.9779  0.4124  6 O 2.40-2.53
Nb  0.1910  0.1910  0.7681  5 O 1.87-2.02
Nb  0.4969  0.4969  0.1786  5 O 1.91-2.08
O  0.0667  0.5364  0.7602  1 Li 1.76
O  0.0914  0.6032  0.4769  4 Nd 2.30-2.41
O  0.1513  0.6353  0.1845  1 Nb 1.95
O  0.1853  0.1853  0.9744  1 Nb 1.87
O  0.3189  0.8505  0.6442  1 Nb 2.02
O  0.3785  0.8536  0.2863  1 Nb 2.08
O  0.5132  0.5132  0.9730  1 Nb 1.91
O  0.5364  0.0667  0.7602  1 Li 1.76
O  0.6032  0.0914  0.4769  4 Nd 2.30-2.41
O  0.6353  0.1513  0.1845  1 Nb 1.95
O  0.8505  0.3189  0.6442  1 Nb 2.02
O  0.8536  0.3785  0.2863  1 Nb 2.08

* uncorrected formation energy: -2.71 eV per atom
* ΔE to the lowest computed polymorph: 1.65 eV per formula unit
* crystal system: monoclinic



This record from Alexandria describes a relaxed structure of Eu3Tm. The functional is PBE.

a b c (Å): 4.1287 6.0220 12.1568
angles (deg): 90.00 90.00 90.00
Closest atoms and distances in Å follow each position.
Sites, in units of the cell vectors:
Eu  0.0000  0.0000  0.0000  4 Tm 3.65, 4 Eu 3.75
Eu  0.0000  0.5000  0.2424  2 Tm 3.60, 6 Eu 3.66-3.75
Eu  0.0000  0.5000  0.7576  2 Tm 3.60, 6 Eu 3.66-3.75
Eu  0.5000  0.0000  0.2576  2 Tm 3.60, 6 Eu 3.66-3.75
Eu  0.5000  0.0000  0.7424  2 Tm 3.60, 6 Eu 3.66-3.75
Eu  0.5000  0.5000  0.5000  4 Tm 3.65, 4 Eu 3.75
Tm  0.0000  0.0000  0.5000  8 Eu 3.60-3.65
Tm  0.5000  0.5000  0.0000  8 Eu 3.60-3.65

* ΔE to the lowest computed polymorph: 0.06 eV per formula unit
* ΔE_f: 113 meV/atom
* crystal system: orthorhombic



This record from Alexandria describes a relaxed structure of NaY2CdN. The functional is PBE.

a b c (Å): 4.7356 4.7356 5.0374
angles (deg): 90.00 90.00 90.00
Closest atoms and distances in Å follow each position.
Sites, in units of the cell vectors:
Na  0.0000  0.0000  0.0000  2 N 2.52
Y  0.0000  0.5000  0.5000  2 N 2.37
Y  0.5000  0.0000  0.5000  2 N 2.37
Cd  0.5000  0.5000  0.0000  4 Na 3.35, 8 Y 3.46
N  0.0000  0.0000  0.5000  4 Y 2.37, 2 Na 2.52

* uncorrected formation energy: -0.55 eV per atom
* crystal system: tetragonal



Quick rundown of uncorrected energy, same order as above: -7.60, -8.71, -5.25 eV/atom